Record 1
Density functional theory data (PBE) for a geometry-optimized PbAu2Br structure.

The total magnetization is 0.0 μB per cell. For the density of states at the Fermi level, the calculation gives 1.00 states/eV per cell. As for the uncorrected formation energy: -0.100 eV per atom. The crystal system is tetragonal. Its energy is -3.084 eV/atom. The calculation puts the offset from the most stable computed form at 20.6 meV/atom.

Structure (CIF):
```
data_PbAu2Br
_chemical_formula_sum 'Pb1 Au2 Br1'
_cell_length_a 3.842
_cell_length_b 3.842
_cell_length_c 7.441
_cell_angle_alpha 90.00
_cell_angle_beta 90.00
_cell_angle_gamma 90.00
_space_group_name_H-M_alt 'P 4 m m'
_space_group_IT_number 99
loop_
_space_group_symop_operation_xyz
'x,y,z'
'-y,x,z'
'-x,-y,z'
'y,-x,z'
'-x,y,z'
'y,x,z'
'x,-y,z'
'-y,-x,z'
loop_
_atom_site_label
_atom_site_type_symbol
_atom_site_fract_x
_atom_site_fract_y
_atom_site_fract_z
_atom_site_occupancy
Pb1 Pb 0.000 0.000 0.000 1
Au1 Au 0.000 0.000 0.373 1
Au2 Au 0.500 0.500 0.313 1
Br1 Br 0.500 0.500 0.772 1
```

Record 2
Density functional theory data (PBE) for a geometry-optimized AlSeBr structure.

The total magnetization is 0.0 μB per cell. For the density of states at the Fermi level, the calculation gives 1.49 states/eV per cell. As for the uncorrected formation energy: -0.208 eV per atom. The crystal system is tetragonal. Its energy is -3.174 eV/atom.

Structure (CIF):
```
data_AlSeBr
_chemical_formula_sum 'Al2 Se2 Br2'
_cell_length_a 3.317
_cell_length_b 3.317
_cell_length_c 13.681
_cell_angle_alpha 90.00
_cell_angle_beta 90.00
_cell_angle_gamma 90.00
_space_group_name_H-M_alt 'I 4 m m'
_space_group_IT_number 107
_space_group_name_Hall 'I 4 -2'
loop_
_atom_site_label
_atom_site_type_symbol
_atom_site_fract_x
_atom_site_fract_y
_atom_site_fract_z
_atom_site_occupancy
Al1 Al 0.000 0.000 0.000 1
Se1 Se 0.000 0.000 0.596 1
Br1 Br 0.000 0.000 0.361 1
```

Record 3
Density functional theory data (PBE) for a geometry-optimized Ba2Hg6PdRh structure.

The total magnetization is 0.0 μB per cell. For the density of states at the Fermi level, the calculation gives 13.16 states/eV per cell. The crystal system is tetragonal. Its energy is -2.144 eV/atom.

Structure (CIF):
```
data_Ba2Hg6PdRh
_chemical_formula_sum 'Ba4 Hg12 Pd2 Rh2'
_cell_length_a 7.503
_cell_length_b 7.503
_cell_length_c 10.626
_cell_angle_alpha 90.00
_cell_angle_beta 90.00
_cell_angle_gamma 90.00
_space_group_name_H-M_alt 'I 4/m m m'
_space_group_IT_number 139
_space_group_name_Hall '-I 4 2'
loop_
_atom_site_label
_atom_site_type_symbol
_atom_site_fract_x
_atom_site_fract_y
_atom_site_fract_z
_atom_site_occupancy
Ba1 Ba 0.000 0.500 0.250 1
Hg1 Hg 0.000 0.000 0.249 1
Hg2 Hg 0.249 0.249 0.000 1
Pd1 Pd 0.000 0.000 0.500 1
Rh1 Rh 0.000 0.000 0.000 1
```

Record 4
Density functional theory data (PBE) for a geometry-optimized Ag2HgPt structure.

The total magnetization is 0.0 μB per cell. For the density of states at the Fermi level, the calculation gives 3.34 states/eV per cell. The crystal system is orthorhombic. Its energy is -2.963 eV/atom.

Structure (CIF):
```
data_Ag2HgPt
_chemical_formula_sum 'Ag4 Hg2 Pt2'
_cell_length_a 4.244
_cell_length_b 4.251
_cell_length_c 8.034
_cell_angle_alpha 90.00
_cell_angle_beta 90.00
_cell_angle_gamma 90.00
_space_group_name_H-M_alt 'C m m 2'
_space_group_IT_number 35
loop_
_space_group_symop_operation_xyz
'x,y,z'
'-x,-y,z'
'-x,y,z'
'x,-y,z'
'x+1/2,y+1/2,z'
'-x+1/2,-y+1/2,z'
'-x+1/2,y+1/2,z'
'x+1/2,-y+1/2,z'
loop_
_atom_site_label
_atom_site_type_symbol
_atom_site_fract_x
_atom_site_fract_y
_atom_site_fract_z
_atom_site_occupancy
Ag1 Ag 0.000 0.000 0.000 1
Ag2 Ag 0.000 0.500 0.248 1
Hg1 Hg 0.000 0.000 0.517 1
Pt1 Pt 0.000 0.500 0.763 1
```

Record 5
Density functional theory data (PBE) for a geometry-optimized SrAgP2 structure.

The total magnetization is 0.0 μB per cell. For the density of states at the Fermi level, the calculation gives 12.24 states/eV per cell. The crystal system is cubic. Its energy is -3.847 eV/atom.

Structure (CIF):
```
data_SrAgP2
_chemical_formula_sum 'Sr4 Ag4 P8'
_cell_length_a 6.979
_cell_length_b 6.979
_cell_length_c 6.979
_cell_angle_alpha 90.00
_cell_angle_beta 90.00
_cell_angle_gamma 90.00
_space_group_name_H-M_alt 'F m -3 m'
_space_group_IT_number 225
_space_group_name_Hall '-F 4 2 3'
loop_
_atom_site_label
_atom_site_type_symbol
_atom_site_fract_x
_atom_site_fract_y
_atom_site_fract_z
_atom_site_occupancy
Sr1 Sr 0.000 0.000 0.000 1
Ag1 Ag 0.000 0.000 0.500 1
P1 P 0.250 0.250 0.250 1
```

Record 6
Density functional theory data (PBE) for a geometry-optimized Li2Ca3Zn structure.

The total magnetization is 0.0 μB per cell. For the density of states at the Fermi level, the calculation gives 4.55 states/eV per cell. The crystal system is tetragonal. Its energy is -1.925 eV/atom.

Structure (CIF):
```
data_Li2Ca3Zn
_chemical_formula_sum 'Li2 Ca3 Zn1'
_cell_length_a 3.792
_cell_length_b 3.792
_cell_length_c 11.984
_cell_angle_alpha 90.00
_cell_angle_beta 90.00
_cell_angle_gamma 90.00
_space_group_name_H-M_alt 'P 4/m m m'
_space_group_IT_number 123
_space_group_name_Hall '-P 4 2'
loop_
_atom_site_label
_atom_site_type_symbol
_atom_site_fract_x
_atom_site_fract_y
_atom_site_fract_z
_atom_site_occupancy
Li1 Li 0.000 0.000 0.175 1
Ca1 Ca 0.500 0.500 0.000 1
Ca2 Ca 0.500 0.500 0.351 1
Zn1 Zn 0.000 0.000 0.500 1
```

Record 7
Density functional theory data (PBE) for a geometry-optimized Rb3U2HgTe6 structure.

The total magnetization is 6.1 μB per cell. For the density of states at the Fermi level, the calculation gives 24.78 states/eV per cell. As for the uncorrected formation energy: -0.731 eV per atom. The crystal system is monoclinic. Its energy is -4.450 eV/atom.

Structure (CIF):
```
data_Rb3U2HgTe6
_chemical_formula_sum 'Rb6 U4 Hg2 Te12'
_cell_length_a 21.201
_cell_length_b 4.589
_cell_length_c 10.069
_cell_angle_alpha 90.00
_cell_angle_beta 97.34
_cell_angle_gamma 90.00
_space_group_name_H-M_alt 'C 1 2/m 1'
_space_group_IT_number 12
loop_
_space_group_symop_operation_xyz
'x,y,z'
'-x,-y,-z'
'-x,y,-z'
'x,-y,z'
'x+1/2,y+1/2,z'
'-x+1/2,-y+1/2,-z'
'-x+1/2,y+1/2,-z'
'x+1/2,-y+1/2,z'
loop_
_atom_site_label
_atom_site_type_symbol
_atom_site_fract_x
_atom_site_fract_y
_atom_site_fract_z
_atom_site_occupancy
Rb1 Rb 0.000 0.000 0.000 1
Rb2 Rb 0.130 0.500 0.376 1
U1 U 0.180 0.500 0.843 1
Hg1 Hg 0.000 0.000 0.500 1
Te1 Te 0.046 0.500 0.758 1
Te2 Te 0.174 0.000 0.056 1
Te3 Te 0.197 0.000 0.654 1
```

Record 8
Density functional theory data (PBE) for a geometry-optimized Li6ZnSn2 structure.

The total magnetization is 0.0 μB per cell. For the density of states at the Fermi level, the calculation gives 8.78 states/eV per cell. The crystal system is monoclinic. Its energy is -2.562 eV/atom. The calculation puts the offset from the most stable computed form at 0.0 meV/atom.

Structure (CIF):
```
data_Li6ZnSn2
_chemical_formula_sum 'Li12 Zn2 Sn4'
_cell_length_a 13.650
_cell_length_b 7.844
_cell_length_c 3.031
_cell_angle_alpha 90.00
_cell_angle_beta 90.08
_cell_angle_gamma 90.00
_space_group_name_H-M_alt 'C 1 2/m 1'
_space_group_IT_number 12
loop_
_space_group_symop_operation_xyz
'x,y,z'
'-x,-y,-z'
'-x,y,-z'
'x,-y,z'
'x+1/2,y+1/2,z'
'-x+1/2,-y+1/2,-z'
'-x+1/2,y+1/2,-z'
'x+1/2,-y+1/2,z'
loop_
_atom_site_label
_atom_site_type_symbol
_atom_site_fract_x
_atom_site_fract_y
_atom_site_fract_z
_atom_site_occupancy
Li1 Li 0.000 0.169 0.000 1
Li2 Li 0.166 0.334 0.994 1
Zn1 Zn 0.000 0.500 0.500 1
Sn1 Sn 0.167 0.000 0.500 1
```

Record 9
Density functional theory data (PBE) for a geometry-optimized TcP2Os structure.

The total magnetization is 0.0 μB per cell. For the density of states at the Fermi level, the calculation gives 12.08 states/eV per cell. The crystal system is trigonal. Its energy is -8.180 eV/atom. The calculation puts the offset from the most stable computed form at 229.5 meV/atom.

Structure (CIF):
```
data_TcP2Os
_chemical_formula_sum 'Tc3 P6 Os3'
_cell_length_a 2.9157
_cell_length_b 2.9157
_cell_length_c 21.9242
_cell_angle_alpha 90.00
_cell_angle_beta 90.00
_cell_angle_gamma 120.00
_space_group_name_H-M_alt 'R -3 m'
_space_group_IT_number 166
_space_group_name_Hall '-R 3 2"'
loop_
_atom_site_label
_atom_site_type_symbol
_atom_site_fract_x
_atom_site_fract_y
_atom_site_fract_z
_atom_site_occupancy
Tc1 Tc 0.0000 0.0000 0.0000 1
P1 P 0.0000 0.0000 0.2505 1
Os1 Os 0.0000 0.0000 0.5000 1
```

Record 10
Density functional theory data (PBE) for a geometry-optimized Li3Zn2Pd structure.

The total magnetization is 0.0 μB per cell. For the density of states at the Fermi level, the calculation gives 6.34 states/eV per cell. The crystal system is orthorhombic. Its energy is -2.502 eV/atom. The calculation puts the offset from the most stable computed form at 50.5 meV/atom.

Structure (CIF):
```
data_Li3Zn2Pd
_chemical_formula_sum 'Li12 Zn8 Pd4'
_cell_length_a 7.796
_cell_length_b 9.469
_cell_length_c 5.198
_cell_angle_alpha 90.00
_cell_angle_beta 90.00
_cell_angle_gamma 90.00
_space_group_name_H-M_alt 'C m c m'
_space_group_IT_number 63
_space_group_name_Hall '-C 2c 2'
loop_
_atom_site_label
_atom_site_type_symbol
_atom_site_fract_x
_atom_site_fract_y
_atom_site_fract_z
_atom_site_occupancy
Li1 Li 0.000 0.054 0.250 1
Li2 Li 0.170 0.240 0.750 1
Zn1 Zn 0.187 0.500 0.000 1
Pd1 Pd 0.000 0.319 0.250 1
```

Record 11
Density functional theory data (PBE) for a geometry-optimized ScAl structure.

The total magnetization is 0.0 μB per cell. For the density of states at the Fermi level, the calculation gives 16.67 states/eV per cell. The crystal system is tetragonal. Its energy is -5.198 eV/atom.

Structure (CIF):
```
data_ScAl
_chemical_formula_sum 'Sc8 Al8'
_cell_length_a 9.990
_cell_length_b 9.990
_cell_length_c 3.292
_cell_angle_alpha 90.00
_cell_angle_beta 90.00
_cell_angle_gamma 90.00
_space_group_name_H-M_alt 'I 4/m m m'
_space_group_IT_number 139
_space_group_name_Hall '-I 4 2'
loop_
_atom_site_label
_atom_site_type_symbol
_atom_site_fract_x
_atom_site_fract_y
_atom_site_fract_z
_atom_site_occupancy
Sc1 Sc 0.157 0.157 0.000 1
Al1 Al 0.000 0.343 0.500 1
```

Record 12
Density functional theory data (PBE) for a geometry-optimized ZrNbC2F structure.

The total magnetization is 0.0 μB per cell. For the density of states at the Fermi level, the calculation gives 2.73 states/eV per cell. As for the uncorrected formation energy: 0.072 eV per atom. The crystal system is tetragonal. Its energy is -7.716 eV/atom.

Structure (CIF):
```
data_ZrNbC2F
_chemical_formula_sum 'Zr1 Nb1 C2 F1'
_cell_length_a 4.216
_cell_length_b 4.216
_cell_length_c 3.884
_cell_angle_alpha 90.00
_cell_angle_beta 90.00
_cell_angle_gamma 90.00
_space_group_name_H-M_alt 'P 4/m m m'
_space_group_IT_number 123
_space_group_name_Hall '-P 4 2'
loop_
_atom_site_label
_atom_site_type_symbol
_atom_site_fract_x
_atom_site_fract_y
_atom_site_fract_z
_atom_site_occupancy
Zr1 Zr 0.000 0.000 0.000 1
Nb1 Nb 0.500 0.500 0.500 1
C1 C 0.000 0.500 0.500 1
F1 F 0.500 0.500 0.000 1
```

Question: Which value of energy does entry 1 give?
Answer: -3.084 eV/atom

Question: What is the energy in the sixth record?
Answer: -1.925 eV/atom

What did the fourth record say?
Density functional theory data (PBE) for a geometry-optimized Ag2HgPt structure.

The total magnetization is 0.0 μB per cell. For the density of states at the Fermi level, the calculation gives 3.34 states/eV per cell. The crystal system is orthorhombic. Its energy is -2.963 eV/atom.

Structure (CIF):
```
data_Ag2HgPt
_chemical_formula_sum 'Ag4 Hg2 Pt2'
_cell_length_a 4.244
_cell_length_b 4.251
_cell_length_c 8.034
_cell_angle_alpha 90.00
_cell_angle_beta 90.00
_cell_angle_gamma 90.00
_space_group_name_H-M_alt 'C m m 2'
_space_group_IT_number 35
loop_
_space_group_symop_operation_xyz
'x,y,z'
'-x,-y,z'
'-x,y,z'
'x,-y,z'
'x+1/2,y+1/2,z'
'-x+1/2,-y+1/2,z'
'-x+1/2,y+1/2,z'
'x+1/2,-y+1/2,z'
loop_
_atom_site_label
_atom_site_type_symbol
_atom_site_fract_x
_atom_site_fract_y
_atom_site_fract_z
_atom_site_occupancy
Ag1 Ag 0.000 0.000 0.000 1
Ag2 Ag 0.000 0.500 0.248 1
Hg1 Hg 0.000 0.000 0.517 1
Pt1 Pt 0.000 0.500 0.763 1
```

Question: What is the formula in the tenth record?
Answer: Li3Zn2Pd